Record 1
VASP calculation (PBE) on a relaxed structure of Pu2BeGe3.

Calculated values
Its crystal system is orthorhombic. Its energy relative to the lowest polymorph listed for this composition is 18 meV/atom. The calculation puts the total magnetic moment at 0.026 Bohr magnetons per cell. For the total energy, the calculation gives -48.33 eV/cell. The value obtained for the energy relative to the elements is -0.35 eV per atom.

Lattice parameters (Å, degrees): 4.1491 4.0281 7.0868 90.00 90.00 90.00
With the nearest neighbours (Å) after each atom.
Fractional coordinates of all 6 atoms:
1 Pu 0.0000 0.5000 0.9990  10 Ge 3.10-3.29, 2 Be 3.10
2 Pu 0.0000 0.0000 0.5033  8 Ge 3.02-3.17, 4 Be 3.16
3 Be 0.5000 0.5000 0.3241  3 Ge 2.22-2.23
4 Ge 0.5000 0.0000 0.8416  3 Ge 2.48-2.50
5 Ge 0.5000 0.0000 0.1938  2 Be 2.22
6 Ge 0.5000 0.5000 0.6382  1 Be 2.23, 2 Ge 2.48

=====

Record 2
VASP calculation (PBE) on a relaxed structure of PuBeGe2.

Calculated values
Its crystal system is trigonal. Its energy relative to the lowest polymorph listed for this composition is 637 meV/atom. The calculation puts the total magnetic moment at 5.133 Bohr magnetons per cell. For the total energy, the calculation gives -25.86 eV/cell. The value obtained for the energy relative to the elements is 0.36 eV per atom.

Lattice parameters (Å, degrees): 2.9498 2.9498 9.7403 81.29 81.29 60.00
With the nearest neighbours (Å) after each atom.
Fractional coordinates of all 4 atoms:
1 Be 0.5000 0.5000 0.5000  6 Ge 2.50
2 Ge 0.1032 0.1032 0.6905  3 Be 2.50
3 Ge 0.8968 0.8968 0.3095  3 Be 2.50
4 Pu 0.0000 0.0000 0.0000  6 Pu 2.95, 2 Ge 2.97

=====

Record 3
VASP calculation (PBE) on a relaxed structure of PuBeGe2.

Calculated values
Its crystal system is tetragonal. Its energy relative to the lowest polymorph listed for this composition is 142 meV/atom. The calculation puts the total magnetic moment at 5.118 Bohr magnetons per cell. For the total energy, the calculation gives -27.84 eV/cell. The value obtained for the energy relative to the elements is -0.14 eV per atom.

Lattice parameters (Å, degrees): 4.0740 4.1597 4.1597 90.00 90.00 90.00
With the nearest neighbours (Å) after each atom.
Fractional coordinates of all 4 atoms:
1 Be 0.5000 0.0000 0.0000  8 Ge 2.91, 4 Pu 2.94
2 Ge 0.0000 0.0000 0.5000  4 Be 2.91, 4 Pu 2.91, 4 Ge 2.94
3 Ge 0.0000 0.5000 0.0000  4 Be 2.91, 4 Pu 2.91, 4 Ge 2.94
4 Pu 0.5000 0.5000 0.5000  8 Ge 2.91, 4 Be 2.94

=====

Record 4
VASP calculation (PBE) on a relaxed structure of Pu2Be2Ge3.

Calculated values
Its crystal system is orthorhombic. The calculation puts the total magnetic moment at 0.145 Bohr magnetons per cell. For the total energy, the calculation gives -103.55 eV/cell. The value obtained for the energy relative to the elements is -0.26 eV per atom.

Lattice parameters (Å, degrees): 4.2413 6.4826 9.2304 90.00 103.28 90.00
With the nearest neighbours (Å) after each atom.
Fractional coordinates of all 14 atoms:
1 Pu 0.1657 0.2500 0.3314  6 Be 2.94-3.02, 6 Ge 2.99-3.02
2 Pu 0.8343 0.7500 0.6686  6 Be 2.94-3.02, 6 Ge 2.99-3.02
3 Pu 0.9535 0.2500 0.9069  9 Ge 2.94-3.21
4 Pu 0.0465 0.7500 0.0931  9 Ge 2.94-3.21
5 Be 0.6832 0.9226 0.3664  1 Be 2.24, 3 Ge 2.24-2.47
6 Be 0.3168 0.0774 0.6336  1 Be 2.24, 3 Ge 2.24-2.47
7 Be 0.3168 0.4226 0.6336  1 Be 2.24, 3 Ge 2.24-2.47
8 Be 0.6832 0.5774 0.3664  1 Be 2.24, 3 Ge 2.24-2.47
9 Ge 0.2170 0.7500 0.4340  4 Be 2.47
10 Ge 0.7830 0.2500 0.5660  4 Be 2.47
11 Ge 0.5683 0.4415 0.1367  1 Be 2.24, 1 Ge 2.48
12 Ge 0.4317 0.5585 0.8633  1 Be 2.24, 1 Ge 2.48
13 Ge 0.4317 0.9415 0.8633  1 Be 2.24, 1 Ge 2.48
14 Ge 0.5683 0.0585 0.1367  1 Be 2.24, 1 Ge 2.48

=====

Record 5
VASP calculation (PBE) on a relaxed structure of PuBeGe2.

Calculated values
Its crystal system is orthorhombic. Its energy relative to the lowest polymorph listed for this composition is 0 meV/atom. The calculation puts the total magnetic moment at 11.067 Bohr magnetons per cell. For the total energy, the calculation gives -56.82 eV/cell. The value obtained for the energy relative to the elements is -0.28 eV per atom.

Lattice parameters (Å, degrees): 4.0451 4.2314 8.5066 104.40 90.00 90.00
With the nearest neighbours (Å) after each atom.
Fractional coordinates of all 8 atoms:
1 Pu 0.0000 0.8593 0.7186  10 Ge 3.08-3.19, 4 Be 3.11
2 Pu 0.0000 0.1407 0.2814  10 Ge 3.08-3.19, 4 Be 3.11
3 Be 0.5000 0.5764 0.1528  5 Ge 2.20-2.46
4 Be 0.5000 0.4236 0.8472  5 Ge 2.20-2.46
5 Ge 0.0000 0.5000 0.0000  4 Be 2.38
6 Ge 0.5000 0.0000 0.0000  4 Be 2.46
7 Ge 0.5000 0.7099 0.4198  1 Be 2.20
8 Ge 0.5000 0.2901 0.5802  1 Be 2.20

=====

Record 6
VASP calculation (PBE) on a relaxed structure of Pu2BeGe2.

Calculated values
Its crystal system is monoclinic. The calculation puts the total magnetic moment at 22.442 Bohr magnetons per cell. For the total energy, the calculation gives -86.82 eV/cell. The value obtained for the energy relative to the elements is -0.36 eV per atom.

Lattice parameters (Å, degrees): 4.0904 5.7942 9.1928 90.09 77.15 69.33
With the nearest neighbours (Å) after each atom.
Fractional coordinates of all 10 atoms:
1 Pu 0.6532 0.3510 0.3426  7 Ge 2.97-3.25, 4 Be 3.04-3.32, 1 Pu 3.13
2 Pu 0.9100 0.2837 0.8963  6 Ge 2.91-3.11, 2 Be 3.13
3 Pu 0.3468 0.6490 0.6574  7 Ge 2.97-3.25, 4 Be 3.04-3.32, 1 Pu 3.13
4 Pu 0.0900 0.7163 0.1037  6 Ge 2.91-3.11, 2 Be 3.13
5 Be 0.6405 0.0637 0.6554  4 Ge 2.36-2.42
6 Be 0.3595 0.9363 0.3446  4 Ge 2.36-2.42
7 Ge 0.1059 0.2182 0.5700  3 Be 2.36-2.42
8 Ge 0.6358 0.8537 0.8747  1 Be 2.36, 1 Ge 2.63
9 Ge 0.8941 0.7818 0.4300  3 Be 2.36-2.42
10 Ge 0.3642 0.1463 0.1253  1 Be 2.36, 1 Ge 2.63